1.
# PBE CaEr2Au3, optimized geometry
# - calculated formation energy (eV/atom) = -0.86
# - total moment (μB/cell) = 0.000
# - ρ (g cm⁻³) = 11.49
data_CaEr2Au3
_chemical_formula_sum 'Ca1 Er2 Au3'
_space_group_name_H-M_alt 'P 4/m m m'
_space_group_IT_number 123
_space_group_name_Hall '-P 4 2'
_cell_length_a 3.575
_cell_length_b 3.575
_cell_length_c 10.915
_cell_angle_alpha 90.00
_cell_angle_beta 90.00
_cell_angle_gamma 90.00
loop_
_atom_site_label
_atom_site_type_symbol
_atom_site_fract_x
_atom_site_fract_y
_atom_site_fract_z
Ca1 Ca 0.000 0.000 0.000
Er1 Er 0.000 0.000 0.334
Au1 Au 0.500 0.500 0.185
Au2 Au 0.500 0.500 0.500

2.
# PBE RbRh4Se8, optimized geometry
# - VASP energy (eV/atom) = -4.943
# - total moment (μB/cell) = 0.000
# - ρ (g cm⁻³) = 4.87
data_RbRh4Se8
_chemical_formula_sum 'Rb3 Rh12 Se24'
_space_group_name_H-M_alt 'R -3 m'
_space_group_IT_number 166
_space_group_name_Hall '-R 3 2"'
_cell_length_a 7.2767
_cell_length_b 7.2767
_cell_length_c 25.1981
_cell_angle_alpha 90.00
_cell_angle_beta 90.00
_cell_angle_gamma 120.00
loop_
_atom_site_label
_atom_site_type_symbol
_atom_site_fract_x
_atom_site_fract_y
_atom_site_fract_z
Rb1 Rb 0.0000 0.0000 0.0000
Rh1 Rh 0.0000 0.0000 0.5000
Rh2 Rh 0.0000 0.5000 0.5000
Se1 Se 0.0000 0.0000 0.2210
Se2 Se 0.0010 0.5005 0.2207

3.
# PBE Sm4Tm4MgO12, optimized geometry
# - VASP energy (eV/atom) = -7.843
# - total moment (μB/cell) = 0.000
# - ρ (g cm⁻³) = 7.73
data_Sm4Tm4MgO12
_chemical_formula_sum 'Sm4 Tm4 Mg1 O12'
_space_group_name_H-M_alt 'P 1'
_space_group_IT_number 1
_space_group_name_Hall 'P 1'
_cell_length_a 5.875
_cell_length_b 6.079
_cell_length_c 9.182
_cell_angle_alpha 83.81
_cell_angle_beta 81.07
_cell_angle_gamma 84.43
loop_
_atom_site_label
_atom_site_type_symbol
_atom_site_fract_x
_atom_site_fract_y
_atom_site_fract_z
Sm1 Sm 0.000 0.000 0.000
Sm2 Sm 0.050 0.958 0.558
Sm3 Sm 0.504 0.449 0.553
Sm4 Sm 0.585 0.631 0.123
Tm1 Tm 0.045 0.532 0.324
Tm2 Tm 0.495 0.906 0.769
Tm3 Tm 0.555 0.065 0.333
Tm4 Tm 0.947 0.477 0.780
Mg1 Mg 0.460 0.291 0.950
O1 O 0.159 0.155 0.756
O2 O 0.239 0.251 0.431
O3 O 0.254 0.695 0.699
O4 O 0.267 0.459 0.113
O5 O 0.321 0.767 0.370
O6 O 0.386 0.971 0.009
O7 O 0.649 0.052 0.552
O8 O 0.717 0.384 0.316
O9 O 0.782 0.322 0.002
O10 O 0.802 0.782 0.880
O11 O 0.832 0.843 0.223
O12 O 0.856 0.603 0.560

4.
# PBE NpVIr, optimized geometry
# - calculated formation energy (eV/atom) = -0.12
# - total moment (μB/cell) = 3.284
# - ρ (g cm⁻³) = 16.05
data_NpVIr
_chemical_formula_sum 'Np2 V2 Ir2'
_space_group_name_H-M_alt 'I 4 m m'
_space_group_IT_number 107
_space_group_name_Hall 'I 4 -2'
_cell_length_a 2.883
_cell_length_b 2.883
_cell_length_c 11.952
_cell_angle_alpha 90.00
_cell_angle_beta 90.00
_cell_angle_gamma 90.00
loop_
_atom_site_label
_atom_site_type_symbol
_atom_site_fract_x
_atom_site_fract_y
_atom_site_fract_z
Np1 Np 0.000 0.000 0.000
V1 V 0.000 0.000 0.322
Ir1 Ir 0.000 0.000 0.692

5.
# PBE YZr2Ru, optimized geometry
# - calculated formation energy (eV/atom) = 0.05
# - total moment (μB/cell) = 0.000
# - ρ (g cm⁻³) = 7.39
data_YZr2Ru
_chemical_formula_sum 'Y1 Zr2 Ru1'
_space_group_name_H-M_alt 'P 4/m m m'
_space_group_IT_number 123
_space_group_name_Hall '-P 4 2'
_cell_length_a 4.960
_cell_length_b 4.960
_cell_length_c 3.404
_cell_angle_alpha 90.00
_cell_angle_beta 90.00
_cell_angle_gamma 90.00
loop_
_atom_site_label
_atom_site_type_symbol
_atom_site_fract_x
_atom_site_fract_y
_atom_site_fract_z
Y1 Y 0.000 0.000 0.000
Zr1 Zr 0.000 0.500 0.500
Ru1 Ru 0.500 0.500 0.000

6.
# PBE Na2Ac6Sn3, optimized geometry
# - calculated formation energy (eV/atom) = -0.12
# - total moment (μB/cell) = 0.005
# - ρ (g cm⁻³) = 7.04
data_Na2Ac6Sn3
_chemical_formula_sum 'Na4 Ac12 Sn6'
_space_group_name_H-M_alt 'I 4/m m m'
_space_group_IT_number 139
_space_group_name_Hall '-I 4 2'
_cell_length_a 5.132
_cell_length_b 5.132
_cell_length_c 31.575
_cell_angle_alpha 90.00
_cell_angle_beta 90.00
_cell_angle_gamma 90.00
loop_
_atom_site_label
_atom_site_type_symbol
_atom_site_fract_x
_atom_site_fract_y
_atom_site_fract_z
Na1 Na 0.000 0.000 0.037
Ac1 Ac 0.000 0.000 0.209
Ac2 Ac 0.000 0.500 0.110
Sn1 Sn 0.000 0.000 0.317
Sn2 Sn 0.000 0.000 0.500

7.
# PBE Na3Ac5H12, optimized geometry
# - VASP energy (eV/atom) = -3.427
# - total moment (μB/cell) = 0.000
# - ρ (g cm⁻³) = 4.78
data_Na3Ac5H12
_chemical_formula_sum 'Na24 Ac40 H96'
_space_group_name_H-M_alt 'I a -3 d'
_space_group_IT_number 230
_space_group_name_Hall '-I 4bd 2c 3'
_cell_length_a 15.002
_cell_length_b 15.002
_cell_length_c 15.002
_cell_angle_alpha 90.00
_cell_angle_beta 90.00
_cell_angle_gamma 90.00
loop_
_atom_site_label
_atom_site_type_symbol
_atom_site_fract_x
_atom_site_fract_y
_atom_site_fract_z
Na1 Na 0.000 0.250 0.125
Ac1 Ac 0.000 0.000 0.000
Ac2 Ac 0.000 0.250 0.375
H1 H 0.007 0.012 0.162

8.
# PBE InFe2S, optimized geometry
# - VASP energy (eV/atom) = -5.705
# - total moment (μB/cell) = 3.898
# - ρ (g cm⁻³) = 7.11
data_InFe2S
_chemical_formula_sum 'In4 Fe8 S4'
_space_group_name_H-M_alt 'I -4 2 d'
_space_group_IT_number 122
_space_group_name_Hall 'I -4 2bw'
_cell_length_a 6.532
_cell_length_b 6.532
_cell_length_c 5.660
_cell_angle_alpha 90.00
_cell_angle_beta 90.00
_cell_angle_gamma 90.00
loop_
_atom_site_label
_atom_site_type_symbol
_atom_site_fract_x
_atom_site_fract_y
_atom_site_fract_z
In1 In 0.000 0.000 0.000
Fe1 Fe 0.161 0.250 0.625
S1 S 0.000 0.000 0.500